# LiCaBe2 (PBE-GGA, relaxed)
# Uncorrected energy, eV/atom: -2.5097
# Energy of formation from the pure elements, eV/atom: 0.33
data_LiCaBe2
_cell_length_a 3.732
_cell_length_b 4.013
_cell_length_c 5.380
_cell_angle_alpha 90.00
_cell_angle_beta 110.12
_cell_angle_gamma 90.00
_symmetry_space_group_name_H-M 'P 1 m 1'
_symmetry_Int_Tables_number 6
_symmetry_space_group_name_Hall 'P -2y'
loop_
_atom_site_label
_atom_site_fract_x
_atom_site_fract_y
_atom_site_fract_z
_atom_site_occupancy
Li1 0.000 0.000 0.000 1
Ca1 0.298 0.500 0.597 1
Be1 0.592 0.500 0.182 1
Be2 0.657 0.000 0.315 1

=====

# TbPu2H8 (PBE-GGA, relaxed)
# Uncorrected energy, eV/atom: -5.9507
data_TbPu2H8
_cell_length_a 3.762
_cell_length_b 5.064
_cell_length_c 11.271
_cell_angle_alpha 90.00
_cell_angle_beta 90.00
_cell_angle_gamma 90.00
_symmetry_space_group_name_H-M 'I m m m'
_symmetry_Int_Tables_number 71
_symmetry_space_group_name_Hall '-I 2 2'
loop_
_atom_site_label
_atom_site_fract_x
_atom_site_fract_y
_atom_site_fract_z
_atom_site_occupancy
Tb1 0.000 0.000 0.000 1
Pu1 0.000 0.000 0.321 1
H1 0.000 0.231 0.500 1
H2 0.000 0.265 0.154 1
H3 0.000 0.500 0.326 1

=====

# GaSiTc3 (PBE-GGA, relaxed)
# Formation energy without anion corrections, eV/atom: 0.7640
# Uncorrected energy, eV/atom: -7.1455
data_GaSiTc3
_cell_length_a 4.406
_cell_length_b 4.406
_cell_length_c 4.406
_cell_angle_alpha 90.00
_cell_angle_beta 90.00
_cell_angle_gamma 90.00
_symmetry_space_group_name_H-M 'P m -3 m'
_symmetry_Int_Tables_number 221
_symmetry_space_group_name_Hall '-P 4 2 3'
loop_
_atom_site_label
_atom_site_fract_x
_atom_site_fract_y
_atom_site_fract_z
_atom_site_occupancy
Ga1 0.000 0.000 0.000 1
Si1 0.500 0.500 0.500 1
Tc1 0.000 0.500 0.500 1

=====

# Na6Tl12Pd (PBE-GGA, relaxed)
# Uncorrected energy, eV/atom: -2.2683
# Energy of formation from the pure elements, eV/atom: -0.08
data_Na6Tl12Pd
_cell_length_a 11.8393
_cell_length_b 11.8393
_cell_length_c 13.2287
_cell_angle_alpha 90.00
_cell_angle_beta 90.00
_cell_angle_gamma 120.00
_symmetry_space_group_name_H-M 'R -3'
_symmetry_Int_Tables_number 148
_symmetry_space_group_name_Hall '-R 3'
loop_
_atom_site_label
_atom_site_fract_x
_atom_site_fract_y
_atom_site_fract_z
_atom_site_occupancy
Na1 0.0294 0.4335 0.2130 1
Tl1 0.0452 0.1800 0.3229 1
Tl2 0.0620 0.8613 0.9040 1
Pd1 0.0000 0.0000 0.5000 1